15
Lattice="8.025 0.000 0.000 -4.013 6.949 -0.027 0.000 -4.604 7.505" Properties=species:S:1:pos:R:3 comment="K3Ce3VS8 | Alexandria via LeMat-Bulk | PBE | optimized geometry" formation_energy_uncorrected_ev_per_atom=-1.59 pbc="T T T"
S 4.012 0.020 5.306
K -2.006 3.475 -0.014
S 6.169 -1.236 2.346
S -2.157 3.581 5.132
S 2.157 3.581 5.132
S 1.856 -1.236 2.346
S 4.012 2.499 2.331
K 2.006 3.475 -0.014
Ce 4.012 -2.302 3.753
S 0.000 2.325 2.173
K 0.000 0.000 0.000
S 0.000 -0.154 5.147
V 0.000 -2.302 3.753
Ce 2.006 1.173 3.739
Ce -2.006 1.173 3.739

=====

4
Lattice="-2.347 3.041 3.475 -1.989 -2.057 4.318 2.246 0.915 4.577" Properties=species:S:1:pos:R:3 comment="EuCdAgHg | Alexandria via LeMat-Bulk | PBE | optimized geometry" e_form_mev_per_atom=-299.3 pbc="T T T"
Ag -1.045 0.950 6.185
Cd -1.567 1.425 9.277
Eu -0.522 0.475 3.092
Hg 0.000 0.000 0.000

=====

5
Lattice="-2.916 1.327 3.376 -3.291 0.131 -2.893 -0.977 -4.459 0.909" Properties=species:S:1:pos:R:3 comment="NaNiMoRh2 | Alexandria via LeMat-Bulk | PBE | optimized geometry" e_form_mev_per_atom=1082.2 pbc="T T T"
Rh -1.458 0.664 1.688
Rh -0.488 -2.229 0.455
Mo -1.645 0.065 -1.447
Ni 0.000 0.000 0.000
Na -3.591 -1.500 0.696

=====

20
Lattice="5.238 0.000 0.000 0.000 8.848 -2.780 0.000 0.126 11.274" Properties=species:S:1:pos:R:3 comment="LaDy3Cd6 | Alexandria via LeMat-Bulk | PBE | optimized geometry" e_form_mev_per_atom=-284.6 pbc="T T T"
Cd 3.928 1.584 7.402
Cd 1.309 7.391 1.091
Cd 3.928 6.646 3.432
Cd 3.928 8.378 -1.632
Cd 3.928 3.162 2.267
Dy 3.928 4.280 5.533
Cd 1.309 2.328 5.062
Cd 3.928 7.649 6.662
Cd 1.309 1.325 1.832
Dy 1.309 3.220 8.076
Dy 3.928 5.754 0.418
Dy 3.928 2.225 10.589
La 1.309 8.394 4.315
La 3.928 0.581 4.179
Cd 1.309 5.812 6.226
Dy 1.309 6.749 -2.096
Dy 1.309 4.695 2.961
Cd 1.309 4.013 -0.155
Cd 3.928 4.961 8.648
Cd 1.309 0.596 10.125

=====

4
Lattice="-0.247 -1.261 -2.915 -4.167 -4.587 2.337 -6.542 -0.562 0.797" Properties=species:S:1:pos:R:3 comment="In2NiSb | Alexandria via LeMat-Bulk | PBE | optimized geometry" formation_energy_uncorrected_ev_per_atom=0.06 pbc="T T T"
In -4.540 -2.190 1.332
In -0.815 -0.385 0.235
Sb -8.155 -4.492 0.894
Ni -2.801 -1.918 -0.674

=====

14
Lattice="-0.579 -5.893 -3.650 -2.056 -4.786 4.609 -7.849 -0.580 -1.326" Properties=species:S:1:pos:R:3 comment="PaPS4Cl | Alexandria via LeMat-Bulk | PBE | optimized geometry" formation_energy_uncorrected_ev_per_atom=-0.86 pbc="T T T"
Pa -2.926 -8.405 0.603
S -6.673 -5.309 -0.482
Cl -1.518 -0.304 -0.231
P -7.265 -7.264 -0.326
S -1.475 -3.594 -1.327
Pa -7.557 -2.854 -0.969
S -2.002 -3.200 1.616
S -5.768 -8.553 0.114
S -4.715 -2.706 -0.481
S -3.810 -5.950 0.116
S -8.482 -8.059 -1.982
Cl -8.965 -10.955 -0.136
P -3.218 -3.995 -0.040
S -9.008 -7.665 0.961

=====

4
Lattice="-3.438 0.708 1.489 1.574 -5.033 1.145 1.481 -0.183 3.509" Properties=species:S:1:pos:R:3 comment="Ta3Cr | Alexandria via LeMat-Bulk | PBE | optimized geometry" e_form_mev_per_atom=257.4 pbc="T T T"
Ta -0.681 -2.122 4.321
Cr 0.000 0.000 0.000
Ta 0.298 -2.385 1.822
Ta -0.978 0.263 2.499

=====

20
Lattice="8.372 0.000 0.000 0.000 6.401 0.000 0.000 0.000 7.527" Properties=species:S:1:pos:R:3 comment="TbInPd3 | Alexandria via LeMat-Bulk | PBE | optimized geometry" e_form_mev_per_atom=-595.4 pbc="T T T"
Tb 0.950 0.342 1.882
Tb 7.422 6.058 5.645
Pd 5.797 4.218 7.052
Pd 7.148 4.991 1.882
Pd 2.575 2.182 0.475
In 4.186 0.000 0.000
Pd 1.224 1.409 5.645
Pd 5.410 1.791 5.645
Pd 6.761 1.018 3.288
In 0.000 3.200 0.000
Tb 5.136 2.858 1.882
Pd 2.962 4.610 1.882
Pd 1.611 5.383 4.239
Pd 5.797 4.218 4.239
Pd 2.575 2.182 3.288
Tb 3.236 3.543 5.645
Pd 6.761 1.018 0.475
Pd 1.611 5.383 7.052
In 4.186 0.000 3.764
In 0.000 3.200 3.764

=====

| no. | DOS at the Fermi energy (states/eV/cell) | calculated total energy (eV per atom) |
| --- | --- | --- |
| 1 | 17.51 | -5.81 |
| 2 | 10.75 | -3.88 |
| 3 | 7.89 | -5.44 |
| 4 | 16.93 | -2.71 |
| 5 | 2.26 | -3.79 |
| 6 | 2.36 | -5.61 |
| 7 | 4.87 | -11.04 |
| 8 | 8.96 | -5.18 |